A geometry-optimized Al2V5Ga5 structure, computed with PBE.

Calculated values
- formation energy (eV per formula unit) = -1.684
- total energy (eV per atom) = -5.82
- magnetic moment (Bohr magnetons per cell) = 0.00

Cell: 5.2355 5.2355 8.5917 Å, 106.09 106.09 50.95°
Fractional positions:
Al  0.0049  0.0049  0.3352
Al  0.9951  0.9951  0.6648
V  0.0000  0.0000  0.0000
V  0.2356  0.2356  0.9153
V  0.2597  0.2597  0.5841
V  0.7403  0.7403  0.4159
V  0.7644  0.7644  0.0847
Ga  0.2474  0.2474  0.2478
Ga  0.4914  0.4914  0.1513
Ga  0.5000  0.5000  0.5000
Ga  0.5086  0.5086  0.8487
Ga  0.7526  0.7526  0.7522



A geometry-optimized AlV2Ga2 structure, computed with PBE.

Calculated values
- formation energy (eV per formula unit) = -0.327
- ΔE to the lowest computed polymorph (eV/f.u.) = 0.32
- total energy (eV per atom) = -5.67
- magnetic moment (Bohr magnetons per cell) = 5.39

Cell: 6.6133 6.6133 3.4305 Å, 90.00 90.00 90.00°
Fractional positions:
Al  0.0000  0.0000  0.0000
Al  0.5000  0.5000  0.0000
V  0.1726  0.3274  0.5000
V  0.3274  0.8274  0.5000
V  0.6726  0.1726  0.5000
V  0.8274  0.6726  0.5000
Ga  0.1296  0.6296  0.0000
Ga  0.3704  0.1296  0.0000
Ga  0.6296  0.8704  0.0000
Ga  0.8704  0.3704  0.0000